Record 1
DFT (GGA-PBE) results for a geometry-optimized Cs3RbGe2O6 structure.

```
Cs3RbGe2O6
1.0
6.7030 0.0000 0.0000
-3.3515 5.8049 0.0000
0.0000 0.0000 8.2299
Cs O Ge Rb
3 6 2 1
Direct
0.3333 0.6667 0.7338
0.6667 0.3333 0.2662
0.0000 0.0000 0.0000
0.3713 0.1857 0.7376
0.6287 0.8143 0.2624
0.1857 0.8143 0.2624
0.8143 0.1857 0.7376
0.1857 0.3713 0.2624
0.8143 0.6287 0.7376
0.3333 0.6667 0.2613
0.6667 0.3333 0.7387
0.0000 0.0000 0.5000
```

Formation energy from raw total energies in eV/atom: -1.58
Crystal system: trigonal
Total moment in μB/cell: 0.0

Record 2
DFT (GGA-PBE) results for a geometry-optimized Ce4Ag structure.

```
Ce4Ag
1.0
-1.0745 2.3347 1.6194
-4.6583 -2.0505 -0.1344
4.3766 -4.0026 5.8258
Ce Ag
4 1
Direct
0.1021 0.6020 0.7041
0.1898 0.1898 0.8797
0.8980 0.3980 0.2961
0.8101 0.8101 0.1202
0.5000 0.0000 0.4999
```

Relative energy among the computed polymorphs in meV per atom: 0
Formation energy from the elements in eV per atom: 0.00
Crystal system: orthorhombic
Total moment in μB/cell: 0.0

Record 3
DFT (GGA-PBE) results for a geometry-optimized Dy9Ho4Hg11 structure.

```
Dy9Ho4Hg11
1.0
3.5466 0.0000 0.0000
0.0000 12.7523 -5.0261
0.0000 0.3898 13.7015
Ho Hg Dy
4 11 9
Direct
0.5000 0.2521 0.4246
0.5000 0.7479 0.5754
0.5000 0.4246 0.2521
0.5000 0.5754 0.7479
0.0000 0.3709 0.6291
0.0000 0.1770 0.8230
0.0000 0.4125 0.0558
0.0000 0.5875 0.9442
0.0000 0.6291 0.3709
0.0000 0.0000 0.0000
0.0000 0.8230 0.1770
0.0000 0.2262 0.2262
0.0000 0.7738 0.7738
0.0000 0.9442 0.5875
0.0000 0.0558 0.4125
0.5000 0.0249 0.2042
0.5000 0.8514 0.3783
0.5000 0.9751 0.7958
0.5000 0.2042 0.0249
0.5000 0.7958 0.9751
0.5000 0.5000 0.5000
0.5000 0.1486 0.6217
0.5000 0.6217 0.1486
0.5000 0.3783 0.8514
```

Formation energy from the elements in eV per atom: -0.37
Crystal system: orthorhombic
Total moment in μB/cell: 1.8

Record 4
DFT (GGA-PBE) results for a geometry-optimized KHgW3 structure.

```
KHgW3
1.0
5.0955 0.0000 0.0000
0.0000 5.0955 0.0000
0.0000 0.0000 5.0955
W K Hg
3 1 1
Direct
0.0000 0.5000 0.0000
0.5000 0.0000 0.0000
0.0000 0.0000 0.5000
0.5000 0.5000 0.5000
0.0000 0.0000 0.0000
```

Relative energy among the computed polymorphs in meV per atom: 0
Formation energy from the elements in eV per atom: 3.15
Crystal system: cubic
Total moment in μB/cell: 0.0

Record 5
DFT (GGA-PBE) results for a geometry-optimized ScCdTeN2 structure.

```
ScCdTeN2
1.0
-2.0991 -0.8583 3.5972
1.2997 -4.0436 -0.2064
4.8265 1.3907 3.1483
N Te Cd Sc
2 1 1 1
Direct
0.5000 0.0000 0.0000
0.0000 0.5000 0.0000
0.0000 0.0000 0.5000
0.0000 0.0000 0.0000
0.5000 0.5000 0.5000
```

Formation energy from raw total energies in eV/atom: 1.19
Relative energy among the computed polymorphs in meV per atom: 670
Crystal system: tetragonal
Total moment in μB/cell: 2.4

Record 6
DFT (GGA-PBE) results for a geometry-optimized YEr4Pd2 structure.

```
YEr4Pd2
1.0
-3.1382 -5.4908 -0.0971
6.6678 -3.8347 1.3409
-3.7815 2.0414 6.7813
Pd Y Er
4 2 8
Direct
0.7500 0.3818 0.4214
0.2500 0.6182 0.5786
0.7500 0.7564 0.0084
0.2500 0.2436 0.9916
0.2500 0.8461 0.9779
0.7500 0.1539 0.0221
0.4966 0.5925 0.2302
0.5034 0.4075 0.7698
0.9966 0.4075 0.7698
0.7500 0.7518 0.6518
0.7500 0.0204 0.3918
0.0034 0.5925 0.2302
0.2500 0.2482 0.3482
0.2500 0.9796 0.6082
```

Relative energy among the computed polymorphs in meV per atom: 0
Formation energy from the elements in eV per atom: -0.46
Crystal system: monoclinic
Total moment in μB/cell: 0.0

Record 7
DFT (GGA-PBE) results for a geometry-optimized Cs6RbCdAu2 structure.

```
Cs6RbCdAu2
1.0
9.0556 -0.0519 -0.0539
3.1825 12.2797 2.7667
3.1825 2.3097 12.3738
Cs Au Cd Rb
12 4 2 2
Direct
0.2414 0.6995 0.5274
0.0695 0.8824 0.8746
0.7586 0.3005 0.4726
0.7490 0.9249 0.5181
0.7414 0.5274 0.6995
0.5695 0.8746 0.8824
0.2490 0.5181 0.9249
0.2586 0.4726 0.3005
0.2510 0.0751 0.4819
0.7510 0.4819 0.0751
0.4305 0.1254 0.1176
0.9305 0.1176 0.1254
0.5791 0.2171 0.3018
0.9209 0.6982 0.7829
0.4209 0.7829 0.6982
0.0791 0.3018 0.2171
0.2500 0.8257 0.1743
0.7500 0.1743 0.8257
0.7500 0.7417 0.2583
0.2500 0.2583 0.7417
```

Formation energy from the elements in eV per atom: -0.13
Crystal system: monoclinic
Total moment in μB/cell: 0.0

Record 8
DFT (GGA-PBE) results for a geometry-optimized LiTeIN2 structure.

```
LiTeIN2
1.0
4.3883 0.0000 0.0000
0.0000 4.3883 0.0000
0.0000 0.0000 6.1455
N Te I Li
2 1 1 1
Direct
0.0000 0.5000 0.0000
0.5000 0.0000 0.0000
0.5000 0.5000 0.5000
0.0000 0.0000 0.5000
0.0000 0.0000 0.0000
```

Formation energy from raw total energies in eV/atom: 1.65
Relative energy among the computed polymorphs in meV per atom: 818
Crystal system: tetragonal
Total moment in μB/cell: 5.2

| no. | volume (A^3/atom) | calculated density (g/cm3) | uncorrected energy (eV per cell) |
| --- | --- | --- | --- |
| 1 | 26.7 | 3.762 | -61.519 |
| 2 | 24.0 | 9.238 | -26.590 |
| 3 | 26.1 | 11.471 | -71.984 |
| 4 | 26.5 | 9.930 | -24.507 |
| 5 | 21.4 | 4.848 | -21.095 |
| 6 | 26.2 | 8.799 | -76.614 |
| 7 | 66.1 | 3.492 | -29.634 |
| 8 | 23.7 | 4.061 | -15.021 |